# 1
# LaSmMgTl

A relaxed LaSmMgTl crystal (PBE, Alexandria via LeMat-Bulk).

POSCAR file:
```
LaSmMgTl
1.0
7.827 0.000 0.000
0.000 7.827 0.000
0.000 0.000 7.827
La Sm Mg Tl
4 4 4 4
direct
0.000 0.000 0.000
0.000 0.500 0.500
0.500 0.000 0.500
0.500 0.500 0.000
0.000 0.000 0.500
0.000 0.500 0.000
0.500 0.000 0.000
0.500 0.500 0.500
0.250 0.250 0.750
0.250 0.750 0.250
0.750 0.250 0.250
0.750 0.750 0.750
0.250 0.250 0.250
0.250 0.750 0.750
0.750 0.250 0.750
0.750 0.750 0.250
```

Calculated formation energy (meV/atom): -265
Crystal system: cubic
Raw total energy (eV per atom): -3.667
Space group: No. 216
Magnetic moment (μB per cell): 0.0

# 2
# La3Sm6Tm2Mg

A relaxed La3Sm6Tm2Mg crystal (PBE, Alexandria via LeMat-Bulk).

POSCAR file:
```
La3Sm6Tm2Mg
1.0
3.136 -5.437 0.000
3.136 5.437 0.000
-2.105 0.000 11.677
La Sm Tm Mg
3 6 2 1
direct
0.000 0.000 0.000
0.333 0.667 0.000
0.667 0.333 0.000
0.089 0.421 0.259
0.248 0.248 0.742
0.421 0.089 0.259
0.579 0.911 0.741
0.752 0.752 0.258
0.911 0.579 0.741
0.166 0.834 0.500
0.834 0.166 0.500
0.500 0.500 0.500
```

Calculated formation energy (meV/atom): 37
Crystal system: monoclinic
Raw total energy (eV per atom): -4.432
Space group: No. 12
Magnetic moment (μB per cell): 0.0

# 3
# LaSmTmMg

A relaxed LaSmTmMg crystal (PBE, Alexandria via LeMat-Bulk).

POSCAR file:
```
LaSmTmMg
1.0
7.930 0.000 0.000
0.000 7.930 0.000
0.000 0.000 7.930
La Sm Tm Mg
4 4 4 4
direct
0.000 0.000 0.000
0.000 0.500 0.500
0.500 0.000 0.500
0.500 0.500 0.000
0.000 0.000 0.500
0.000 0.500 0.000
0.500 0.000 0.000
0.500 0.500 0.500
0.250 0.250 0.750
0.250 0.750 0.250
0.750 0.250 0.250
0.750 0.750 0.750
0.250 0.250 0.250
0.250 0.750 0.750
0.750 0.250 0.750
0.750 0.750 0.250
```

Calculated formation energy (meV/atom): 8
Crystal system: cubic
Raw total energy (eV per atom): -3.920
Space group: No. 216
Magnetic moment (μB per cell): 0.0
Excess energy over the best structure of this formula in the dataset (meV per atom): 26.7